{
  "formula": "PmNiC2O8",
  "functional": "PBE+U",
  "state": "optimized geometry",
  "cell": [[5.129, 0.000, 0.000], [-2.564, 4.442, 0.000], [0.000, 0.000, 6.120]],
  "species": ["O", "O", "O", "O", "O", "O", "O", "O", "C", "C", "Pm", "Ni"],
  "frac_coords": [[0.185, 0.369, 0.729], [0.185, 0.815, 0.729], [0.815, 0.631, 0.271], [0.369, 0.185, 0.271], [0.333, 0.667, 0.431], [0.667, 0.333, 0.569], [0.815, 0.185, 0.271], [0.631, 0.815, 0.729], [0.667, 0.333, 0.344], [0.333, 0.667, 0.656], [0.000, 0.000, 0.000], [0.000, 0.000, 0.500]],
  "volume_a3_per_atom": 11.62,
  "total_energy_ev_per_atom": -6.59
}